Na2La2Pb (PBE, optimized geometry); ΔH_f (0 K) = 0.05 eV per atom; ΔE to the lowest computed polymorph = 0.0700 eV per atom; crystal system = tetragonal; N(E_F) = 1.05 states/eV per atom
1.0
7.781 0.000 0.000
0.000 7.781 0.000
0.000 0.000 5.280
Na Pb La
4 2 4
Cartesian
6.774 4.898 0.000
1.007 2.883 0.000
4.898 1.007 0.000
2.883 6.774 0.000
0.000 0.000 0.000
3.890 3.890 0.000
1.423 5.313 2.640
2.468 1.423 2.640
6.358 2.468 2.640
5.313 6.358 2.640

Rb2BeW (PBE, optimized geometry); ΔH_f (0 K) = 1.66 eV per atom; crystal system = tetragonal; N(E_F) = 0.59 states/eV per atom
1.0
-1.755 -6.382 11.148
6.293 -10.236 -4.869
4.281 -7.455 3.945
Rb W Be
4 2 2
Cartesian
6.000 -18.210 9.368
6.095 -13.746 4.399
4.455 -10.258 1.431
1.090 -5.933 5.251
0.000 0.000 0.000
2.398 -11.073 9.117
6.422 -13.000 1.108
2.269 -8.309 3.140

EuPuGaHg (PBE, optimized geometry); ΔH_f (0 K) = -0.28 eV per atom; crystal system = cubic; N(E_F) = 4.08 states/eV per atom
1.0
-5.279 0.349 -0.626
-2.133 -0.340 -4.870
-2.809 -4.310 -1.383
Ga Pu Eu Hg
1 1 1 1
Cartesian
-2.555 -1.075 -1.720
-5.111 -2.151 -3.439
0.000 0.000 0.000
-7.666 -3.226 -5.159